# MgCoI2O, optimized geometry, DFT PBE with a Hubbard U
data_MgCoI2O
_chemical_formula_sum 'Mg1 Co1 I2 O1'
_symmetry_space_group_name_H-M 'P 4/m m m'
_symmetry_Int_Tables_number 123
_symmetry_space_group_name_Hall '-P 4 2'
_cell_length_a 5.753
_cell_length_b 5.753
_cell_length_c 3.772
_cell_angle_alpha 90.00
_cell_angle_beta 90.00
_cell_angle_gamma 90.00
loop_
_atom_site_label
_atom_site_type_symbol
_atom_site_fract_x
_atom_site_fract_y
_atom_site_fract_z
Mg1 Mg 0.000 0.000 0.000
Co1 Co 0.500 0.500 0.500
I1 I 0.000 0.500 0.000
O1 O 0.000 0.000 0.500
# N(E_F) = 1.13 states/eV/atom
# energy relative to the lowest polymorph listed for this composition = 0.83 eV per formula unit
# total magnetic moment = 2.3 μB/f.u.
# calculated total energy = -15.62 eV/cell